# Li2Al2Zn GGA-PBEsol relaxed
data_Li2Al2Zn
_chemical_formula_sum 'Li4 Al4 Zn2'
_cell_length_a 6.597
_cell_length_b 6.597
_cell_length_c 3.894
_cell_angle_alpha 90.00
_cell_angle_beta 90.00
_cell_angle_gamma 90.00
_space_group_name_H-M_alt 'P 1'
_space_group_IT_number 1
_space_group_name_Hall 'P 1'
loop_
_atom_site_label
_atom_site_fract_x
_atom_site_fract_y
_atom_site_fract_z
Li1 0.159 0.341 0.000
Li2 0.341 0.841 0.000
Li3 0.659 0.159 0.000
Li4 0.841 0.659 0.000
Al1 0.141 0.641 0.500
Al2 0.359 0.141 0.500
Al3 0.641 0.859 0.500
Al4 0.859 0.359 0.500
Zn1 0.000 0.000 0.500
Zn2 0.500 0.500 0.500
# ΔH_f (0 K)	0.19	kcal/mol of atoms
# magnetization	0.0000	μB per atom
# density of states at the Fermi level	0.408	states/eV/atom
# uncorrected energy	-27.3	eV/cell